# 1
Below is an optimized crystal structure of Nb2Mo2H3, with properties calculated at the GGA-PBE level.

Calculated values
For the density, the calculation gives 8.423 g/cm³. The space-group type is C2/m, No. 12. For the calculated volume, the calculation gives 75.05 Å³ per cell. The calculation puts the raw total energy at -7.443 eV/atom.

Cell: 3.128 5.053 5.221 Å, 106.75 107.43 90.00°
Fractional coordinates of all 7 atoms:
H (0.238, 0.776, 0.477)
H (0.000, 0.000, 0.000)
Mo (0.136, 0.390, 0.272)
H (0.762, 0.224, 0.523)
Nb (0.392, 0.157, 0.783)
Mo (0.864, 0.610, 0.728)
Nb (0.608, 0.843, 0.217)

***

# 2
Below is an optimized crystal structure of U2Cl4O3, with properties calculated at the GGA-PBE level.

Calculated values
For the density, the calculation gives 4.214 g/cm³. The calculation puts the uncorrected formation energy at -231.2 kJ/mol of atoms. The space-group type is P-1, No. 2. For the calculated volume, the calculation gives 262.36 Å³ per cell. The calculation puts the raw total energy at -7.378 eV/atom.

Cell: 4.138 11.754 8.689 Å, 131.68 118.44 57.93°
Last column: magnetic moment on the atom in μB.
Fractional coordinates of all 9 atoms:
Cl (0.744, 0.308, 0.455)  -0.03
Cl (0.256, 0.692, 0.545)  -0.03
O (0.834, 0.401, 0.184)  -0.04
U (0.329, 0.395, 0.171)  1.09
O (0.000, 0.500, 0.000)  -0.04
Cl (0.443, 0.111, 0.856)  -0.03
U (0.671, 0.605, 0.829)  1.09
Cl (0.557, 0.889, 0.144)  -0.03
O (0.166, 0.599, 0.816)  -0.04

***

# 3
Below is an optimized crystal structure of Ac2SiH, with properties calculated at the GGA-PBE level.

Calculated values
For the density, the calculation gives 6.885 g/cm³. The space-group type is R3m, No. 160. For the calculated volume, the calculation gives 116.51 Å³ per cell. The calculation puts the raw total energy at -4.532 eV/atom. As for the distance to the lowest polymorph of the same formula: 10.1 kJ per mole of atoms.

Cell: 4.315 4.315 7.645 Å, 73.61 73.61 60.00°
Last column: magnetic moment on the atom in μB.
Fractional coordinates of all 4 atoms:
Ac (0.254, 0.254, 0.239)  0.05
Ac (0.084, 0.084, 0.748)  0.05
Si (0.668, 0.668, 0.996)  -0.01
H (0.494, 0.494, 0.517)  -0.01

***

# 4
Below is an optimized crystal structure of Pm2ScSn3, with properties calculated at the GGA-PBE level.

Calculated values
For the density, the calculation gives 6.811 g/cm³. The space-group type is C2/c, No. 15. For the calculated volume, the calculation gives 336.96 Å³ per cell. The formation energy comes out at -3.775 eV/f.u. The calculation puts the raw total energy at -5.269 eV/atom.

Cell: 8.276 8.045 8.045 Å, 134.39 100.59 100.59°
Fractional coordinates of all 12 atoms:
Pm (0.750, 0.772, 0.228)
Sc (0.250, 0.597, 0.403)
Pm (0.750, 0.074, 0.926)
Sn (0.535, 0.403, 0.248)
Pm (0.250, 0.926, 0.074)
Sc (0.750, 0.403, 0.597)
Sn (0.035, 0.248, 0.403)
Pm (0.250, 0.228, 0.772)
Sn (0.000, 0.500, 0.000)
Sn (0.500, 0.000, 0.500)
Sn (0.965, 0.752, 0.597)
Sn (0.465, 0.597, 0.752)

***

# 5
Below is an optimized crystal structure of AcSm2Er3, with properties calculated at the GGA-PBE level.

Calculated values
For the density, the calculation gives 8.409 g/cm³. The space-group type is C2/c, No. 15. For the calculated volume, the calculation gives 406.58 Å³ per cell. The formation energy comes out at 0.634 eV/f.u. The calculation puts the raw total energy at -4.433 eV/atom.

Cell: 6.772 6.772 9.090 Å, 97.87 97.87 95.06°
Fractional coordinates of all 12 atoms:
Sm (0.623, 0.131, 0.373)
Er (0.172, 0.348, 0.501)
Er (0.348, 0.172, 0.001)
Er (0.574, 0.426, 0.750)
Sm (0.869, 0.377, 0.127)
Sm (0.377, 0.869, 0.627)
Er (0.426, 0.574, 0.250)
Er (0.652, 0.828, 0.999)
Sm (0.131, 0.623, 0.873)
Er (0.828, 0.652, 0.499)
Ac (0.915, 0.085, 0.750)
Ac (0.085, 0.915, 0.250)

***

# 6
Below is an optimized crystal structure of Na12ZnCd3, with properties calculated at the GGA-PBE level.

Calculated values
For the density, the calculation gives 2.377 g/cm³. The space-group type is P4/mmm, No. 123. For the calculated volume, the calculation gives 474.00 Å³ per cell. The formation energy comes out at -0.176 eV/f.u. The calculation puts the raw total energy at -1.252 eV/atom.

Cell: 4.919 4.919 19.593 Å, 90.00 90.00 90.00°
Fractional coordinates of all 16 atoms:
Na (0.000, 0.500, 0.121)
Na (0.500, 0.000, 0.879)
Na (0.000, 0.500, 0.626)
Na (0.500, 0.000, 0.374)
Na (0.500, 0.000, 0.121)
Na (0.000, 0.500, 0.879)
Na (0.500, 0.500, 0.500)
Na (0.500, 0.500, 0.753)
Cd (0.000, 0.000, 0.500)
Na (0.500, 0.500, 0.247)
Na (0.500, 0.500, 0.000)
Na (0.500, 0.000, 0.626)
Na (0.000, 0.500, 0.374)
Zn (0.000, 0.000, 0.000)
Cd (0.000, 0.000, 0.753)
Cd (0.000, 0.000, 0.247)

***

# 7
Below is an optimized crystal structure of PaGaOsN, with properties calculated at the GGA-PBE level.

Calculated values
For the density, the calculation gives 12.927 g/cm³. The calculation puts the uncorrected formation energy at -69.2 kJ/mol of atoms. The space-group type is P4/nmm, No. 129. For the calculated volume, the calculation gives 129.74 Å³ per cell. The calculation puts the raw total energy at -8.737 eV/atom.

Cell: 4.040 4.040 7.949 Å, 90.00 90.00 90.00°
Fractional coordinates of all 8 atoms:
N (0.000, 0.000, 0.500)
Ga (0.500, 0.000, 0.189)
Os (0.000, 0.000, 0.000)
N (0.500, 0.500, 0.500)
Pa (0.500, 0.000, 0.640)
Pa (0.000, 0.500, 0.360)
Os (0.500, 0.500, 0.000)
Ga (0.000, 0.500, 0.811)

***

# 8
Below is an optimized crystal structure of La2Tl2Cu, with properties calculated at the GGA-PBE level.

Calculated values
For the density, the calculation gives 8.713 g/cm³. The space-group type is P4/mbm, No. 127. For the calculated volume, the calculation gives 285.93 Å³ per cell. The formation energy comes out at -0.932 eV/f.u. The calculation puts the raw total energy at -3.923 eV/atom. As for the distance to the lowest polymorph of the same formula: 0.0 kJ per mole of atoms.

Cell: 7.517 7.517 5.060 Å, 90.00 90.00 90.00°
Fractional coordinates of all 10 atoms:
Tl (0.849, 0.651, 0.000)
La (0.843, 0.343, 0.500)
Tl (0.651, 0.151, 0.000)
La (0.657, 0.843, 0.500)
Tl (0.151, 0.349, 0.000)
La (0.343, 0.157, 0.500)
Cu (0.000, 0.000, 0.000)
Tl (0.349, 0.849, 0.000)
Cu (0.500, 0.500, 0.000)
La (0.157, 0.657, 0.500)

***

# 9
Below is an optimized crystal structure of Cs2Rb8Pt, with properties calculated at the GGA-PBE level.

Calculated values
For the density, the calculation gives 2.070 g/cm³. The space-group type is C2/m, No. 12. For the calculated volume, the calculation gives 918.31 Å³ per cell. The formation energy comes out at 0.125 eV/f.u. The calculation puts the raw total energy at -1.397 eV/atom.

Cell: 8.675 9.437 12.889 Å, 111.47 109.22 90.00°
Fractional coordinates of all 11 atoms:
Rb (0.284, 0.295, 0.100)
Rb (0.404, 0.750, 0.500)
Rb (0.596, 0.250, 0.500)
Rb (0.716, 0.195, 0.900)
Cs (0.047, 0.869, 0.738)
Rb (0.812, 0.646, 0.293)
Rb (0.188, 0.354, 0.707)
Pt (0.000, 0.000, 0.000)
Cs (0.953, 0.131, 0.262)
Rb (0.284, 0.805, 0.100)
Rb (0.716, 0.705, 0.900)

***

# 10
Below is an optimized crystal structure of Ti2Ni2Ir, with properties calculated at the GGA-PBE level.

Calculated values
For the density, the calculation gives 9.926 g/cm³. The space-group type is P4/mbm, No. 127. For the calculated volume, the calculation gives 135.62 Å³ per cell. The formation energy comes out at -2.627 eV/f.u. The calculation puts the raw total energy at -7.768 eV/atom. As for the distance to the lowest polymorph of the same formula: 0.0 kJ per mole of atoms.

Cell: 6.748 6.748 2.979 Å, 90.00 90.00 90.00°
Fractional coordinates of all 10 atoms:
Ni (0.876, 0.624, 0.000)
Ni (0.124, 0.376, 0.000)
Ti (0.320, 0.180, 0.500)
Ir (0.000, 0.000, 0.000)
Ti (0.820, 0.320, 0.500)
Ti (0.680, 0.820, 0.500)
Ir (0.500, 0.500, 0.000)
Ni (0.624, 0.124, 0.000)
Ti (0.180, 0.680, 0.500)
Ni (0.376, 0.876, 0.000)

***

# 11
Below is an optimized crystal structure of CdCu3W, with properties calculated at the GGA-PBE level.

Calculated values
For the density, the calculation gives 7.637 g/cm³. The space-group type is Pm-3m, No. 221. For the calculated volume, the calculation gives 105.87 Å³ per cell. The formation energy comes out at 7.204 eV/f.u. The calculation puts the raw total energy at -3.790 eV/atom. As for the distance to the lowest polymorph of the same formula: 0.0 kJ per mole of atoms.

Cell: 4.731 4.731 4.731 Å, 90.00 90.00 90.00°
Fractional coordinates of all 5 atoms:
Cu (0.000, 0.500, 0.000)
Cu (0.500, 0.000, 0.000)
Cd (0.500, 0.500, 0.500)
W (0.000, 0.000, 0.000)
Cu (0.000, 0.000, 0.500)